# 1
This record from Alexandria via LeMat-Bulk describes a relaxed Sm2AgTe crystal. The functional is PBE.

N(E_F): 5.58 states/eV per cell

POSCAR file:
```
Sm2AgTe
1.0
4.6085 0.0000 0.0000
0.0000 4.1319 -0.7339
0.0000 0.0291 12.1627
Ag Sm Te
2 4 2
direct
0.7500 0.5395 0.0790
0.2500 0.4605 0.9210
0.7500 0.6749 0.3498
0.2500 0.3251 0.6502
0.7500 0.9373 0.8747
0.2500 0.0627 0.1253
0.2500 0.1935 0.3870
0.7500 0.8065 0.6130
```

=====

# 2
This record from Alexandria via LeMat-Bulk describes a relaxed SmAg5Te4 crystal. The functional is PBE.

N(E_F): 0.88 states/eV per cell

POSCAR file:
```
SmAg5Te4
1.0
-2.5812 -3.7308 0.2410
1.8391 -1.7879 -7.9786
6.3231 -1.2125 6.1307
Ag Te Sm
5 4 1
direct
0.1852 0.9770 0.3705
0.5000 0.5000 0.0000
0.8148 0.6066 0.6295
0.8148 0.0230 0.6295
0.1852 0.3934 0.3705
0.0000 0.2704 0.0000
0.7154 0.2154 0.4308
0.2846 0.7846 0.5692
0.0000 0.7296 0.0000
0.5000 0.0000 0.0000
```

=====

# 3
This record from Alexandria via LeMat-Bulk describes a relaxed Sm2AgTe crystal. The functional is PBE.

N(E_F): 4.11 states/eV per cell

POSCAR file:
```
Sm2AgTe
1.0
-0.6353 -2.7771 2.6531
-1.6965 -2.2097 -2.7192
6.3214 -2.9353 -1.5586
Te Sm Ag
1 2 1
direct
0.5000 0.5000 0.5000
0.0000 0.0000 0.7545
0.0000 0.0000 0.2455
0.5000 0.5000 0.0000
```

=====

For the records above, the corresponding formation energy without anion corrections values read -806; -352; -709 meV/atom.